Compound: Mg2MnSnN4
Source: the Alexandria database
Functional: PBE
Structure: relaxed

## Properties
* spin magnetization: 5.999 μB per cell
* crystal system: orthorhombic
* energy relative to the elements, uncorrected: -0.324 eV per atom
* total DFT energy (no corrections): -104.5 eV for the cell shown
* space group: Pmn2_1 (31)

Cell lengths 6.817, 5.841, 5.284 Å; angles 90.00, 90.00, 90.00 degrees
Fractional positions:
Mg  0.249  0.170  0.000
Mg  0.251  0.830  0.500
Mg  0.749  0.830  0.500
Mg  0.751  0.170  0.000
Mn  0.000  0.676  0.003
Mn  0.500  0.324  0.503
Sn  0.000  0.342  0.503
Sn  0.500  0.658  0.003
N  0.000  0.367  0.902
N  0.000  0.674  0.354
N  0.234  0.820  0.903
N  0.266  0.180  0.403
N  0.500  0.326  0.854
N  0.500  0.633  0.402
N  0.734  0.180  0.403
N  0.766  0.820  0.903